Computed, not measured: a relaxed Rb3Tm3CrSe8 crystal at the PBE level of DFT.

abc: 8.040 8.049 9.471
angles: 115.20 90.00 119.97
Each line ends with the local moment (μB).
Atoms (fractional coordinates):
Rb: 0.000 0.000 0.000  0.00
Rb: 0.000 0.500 0.000  0.00
Rb: 0.500 0.500 0.000  0.00
Tm: 0.500 0.000 0.500  0.01
Tm: 0.500 0.500 0.500  0.01
Tm: 0.000 0.500 0.500  0.01
Cr: 0.000 0.000 0.500  2.79
Se: 0.268 0.536 0.305  -0.03
Se: 0.732 0.464 0.695  -0.03
Se: 0.785 0.570 0.318  -0.07
Se: 0.215 0.430 0.682  -0.07
Se: 0.785 0.033 0.318  -0.07
Se: 0.215 0.967 0.682  -0.07
Se: 0.248 0.033 0.318  -0.07
Se: 0.752 0.967 0.682  -0.07

## Properties
The value obtained for the formation energy from raw total energies is -1.41 eV per atom. As for the symmetry: C2/m (12). The crystal system is monoclinic. The calculated total energy is -5.00 eV/atom.

Computed, not measured: a relaxed Cs2PPtCl6 crystal at the PBE level of DFT.

abc: 7.199 7.199 7.179
angles: 59.91 59.91 90.00
Atoms (fractional coordinates):
Cs: 0.750 0.250 0.500
Cs: 0.250 0.750 0.500
P: 0.500 0.500 0.000
Pt: 0.000 0.000 0.000
Cl: 0.252 0.252 0.497
Cl: 0.748 0.748 0.503
Cl: 0.252 0.252 0.000
Cl: 0.748 0.748 0.000
Cl: 0.748 0.252 0.000
Cl: 0.252 0.748 0.000

## Properties
The value obtained for the formation energy from raw total energies is -0.93 eV per atom. As for the symmetry: I4/mmm (139). The crystal system is tetragonal. The calculated total energy is -3.36 eV/atom.

Computed, not measured: a relaxed MnInAg crystal at the PBE level of DFT.

abc: 5.073 5.073 5.073
angles: 145.51 130.99 61.30
Each line ends with the local moment (μB).
Atoms (fractional coordinates):
Ag: 0.002 0.002 0.000  0.03
In: 0.331 0.331 0.000  -0.06
Mn: 0.667 0.667 0.000  3.68

## Properties
Its formation energy is 220 meV/atom. As for the symmetry: Imm2 (44). The crystal system is orthorhombic. The calculated total energy is -4.70 eV/atom.

Computed, not measured: a relaxed CsCrGa2Pd crystal at the PBE level of DFT.

abc: 5.849 5.591 5.849
angles: 90.00 90.00 90.00
Each line ends with the local moment (μB).
Atoms (fractional coordinates):
Cs: 0.000 0.000 0.000  0.07
Cr: 0.000 0.500 0.000  4.26
Ga: 0.000 0.000 0.500  -0.02
Ga: 0.500 0.000 0.000  -0.08
Pd: 0.500 0.500 0.500  0.07

## Properties
Its formation energy is 1877 meV/atom. As for the symmetry: P4/mmm (123). The crystal system is tetragonal. The calculated total energy is -2.47 eV/atom.

Computed, not measured: a relaxed AcPH crystal at the PBE level of DFT.

abc: 6.313 6.313 7.956
angles: 120.27 120.27 74.30
Atoms (fractional coordinates):
Ac: 0.578 0.003 0.500
Ac: 0.747 0.672 0.000
Ac: 0.997 0.422 0.500
Ac: 0.328 0.253 0.000
P: 0.187 0.813 0.000
P: 0.138 0.862 0.500
P: 0.437 0.563 0.500
P: 0.888 0.112 0.000
H: 0.673 0.098 0.271
H: 0.423 0.348 0.771
H: 0.652 0.577 0.229
H: 0.902 0.327 0.729

## Properties
As for the energy above the most stable polymorph in this dataset: 0.0454 eV/atom. As for the symmetry: Fddd (70). The crystal system is orthorhombic. The calculated total energy is -5.14 eV/atom.

Computed, not measured: a relaxed AsW3Au crystal at the PBE level of DFT.

abc: 4.862 4.862 4.862
angles: 90.00 90.00 90.00
Atoms (fractional coordinates):
As: 0.500 0.500 0.500
Au: 0.000 0.000 0.000
W: 0.000 0.500 0.000
W: 0.000 0.000 0.500
W: 0.500 0.000 0.000

## Properties
As for the energy above the most stable polymorph in this dataset: 1.1047 eV/atom. Its formation energy is 2716 meV/atom. As for the symmetry: Pm-3m (221). The crystal system is cubic. The calculated total energy is -6.64 eV/atom.

Computed, not measured: a relaxed TcNiHg2 crystal at the PBE level of DFT.

abc: 4.935 4.935 4.935
angles: 129.96 129.96 73.46
Each line ends with the local moment (μB).
Atoms (fractional coordinates):
Hg: 0.000 0.000 0.000  0.00
Hg: 0.250 0.750 0.500  -0.02
Ni: 0.500 0.500 0.000  0.58
Tc: 0.750 0.250 0.500  1.84

## Properties
As for the energy above the most stable polymorph in this dataset: 0.2996 eV/atom. Its formation energy is 627 meV/atom. As for the symmetry: I-4m2 (119). The crystal system is tetragonal. The calculated total energy is -3.56 eV/atom.

Computed, not measured: a relaxed LiTeRh crystal at the PBE level of DFT.

abc: 3.517 3.517 6.024
angles: 90.00 90.00 120.00
Atoms (fractional coordinates):
Li: 0.000 0.000 0.024
Rh: 0.667 0.333 0.361
Te: 0.333 0.667 0.615

## Properties
As for the energy above the most stable polymorph in this dataset: 0.4050 eV/atom. The value obtained for the formation energy from raw total energies is -0.16 eV per atom. As for the symmetry: P3m1 (156). The crystal system is trigonal. The calculated total energy is -4.29 eV/atom.

Computed, not measured: a relaxed PuZrAs2 crystal at the PBE level of DFT.

abc: 3.925 3.925 7.246
angles: 74.29 74.29 60.00
Each line ends with the local moment (μB).
Atoms (fractional coordinates):
Pu: 0.670 0.670 0.989  5.07
Zr: 0.497 0.497 0.509  -0.14
As: 0.087 0.087 0.739  -0.06
As: 0.246 0.246 0.263  -0.07

## Properties
As for the energy above the most stable polymorph in this dataset: 0.1494 eV/atom. Its formation energy is -978 meV/atom. As for the symmetry: R3m (160). The crystal system is trigonal. The calculated total energy is -9.02 eV/atom.

Computed, not measured: a relaxed Pm2Al3Cu5 crystal at the PBE level of DFT.

abc: 4.191 4.191 10.236
angles: 90.00 90.00 90.00
Atoms (fractional coordinates):
Pm: 0.500 0.000 0.235
Pm: 0.000 0.500 0.765
Al: 0.500 0.000 0.645
Al: 0.000 0.500 0.355
Al: 0.000 0.000 0.500
Cu: 0.500 0.500 0.000
Cu: 0.000 0.000 0.000
Cu: 0.500 0.000 0.880
Cu: 0.000 0.500 0.120
Cu: 0.500 0.500 0.500

## Properties
Its formation energy is -248 meV/atom. As for the symmetry: P-4m2 (115). The crystal system is tetragonal. The calculated total energy is -4.37 eV/atom.

Computed, not measured: a relaxed Na3GeP crystal at the PBE level of DFT.

abc: 7.736 7.736 7.736
angles: 76.40 125.63 130.74
Atoms (fractional coordinates):
Na: 0.864 0.143 0.822
Na: 0.864 0.542 0.221
Na: 0.322 0.643 0.779
Na: 0.268 0.316 0.452
Na: 0.322 0.042 0.178
Na: 0.864 0.816 0.548
Ge: 0.476 0.140 0.836
Ge: 0.304 0.640 0.164
P: 0.671 0.016 0.155
P: 0.862 0.516 0.845

## Properties
As for the energy above the most stable polymorph in this dataset: 0.0000 eV/atom. Its formation energy is -85 meV/atom. As for the symmetry: Ima2 (46). The crystal system is orthorhombic. The calculated total energy is -2.88 eV/atom.

Computed, not measured: a relaxed ReHW2 crystal at the PBE level of DFT.

abc: 4.295 4.295 4.295
angles: 60.00 60.00 60.00
Atoms (fractional coordinates):
Re: 0.500 0.500 0.500
W: 0.250 0.250 0.250
W: 0.750 0.750 0.750
H: 0.000 0.000 0.000

## Properties
As for the energy above the most stable polymorph in this dataset: 0.7070 eV/atom. As for the symmetry: Fm-3m (225). The crystal system is cubic. The calculated total energy is -9.55 eV/atom.